Ga4TcNi15 after structural relaxation, computed with PBE-GGA.

The structure in POSCAR format:
```
Ga4TcNi15
1.0
3.582 0.000 0.000
0.000 3.582 0.000
0.000 0.000 17.890
Tc Ni Ga
1 15 4
Direct
0.000 0.000 0.000 Tc
0.000 0.500 0.099 Ni
0.500 0.500 0.800 Ni
0.500 0.500 0.400 Ni
0.500 0.500 0.000 Ni
0.000 0.500 0.500 Ni
0.500 0.000 0.099 Ni
0.500 0.000 0.699 Ni
0.000 0.500 0.301 Ni
0.500 0.000 0.500 Ni
0.500 0.000 0.901 Ni
0.000 0.500 0.699 Ni
0.500 0.000 0.301 Ni
0.500 0.500 0.200 Ni
0.000 0.500 0.901 Ni
0.500 0.500 0.600 Ni
0.000 0.000 0.401 Ga
0.000 0.000 0.599 Ga
0.000 0.000 0.204 Ga
0.000 0.000 0.796 Ga
```

## Properties
* calculated formation energy: -22.1 kJ per mole of atoms
* symmetry: P4/mmm (123)